1.
Computed, not measured: a geometry-optimized Cs5H3I2 structure at the PBE-GGA level of DFT.

Output
Electronic total energy   -49.0 eV for the cell shown

abc: 17.136 5.037 12.282
angles: 90.00 124.38 90.00
Space group C2/m (No. 12)
One atom of each set of equivalent atoms:
Cs1 0.000 0.000 0.000 [2 per cell]
Cs2 0.076 0.000 0.408 [4 per cell]
Cs3 0.187 0.500 0.821 [4 per cell]
H1 0.000 0.500 0.500 [2 per cell]
H2 0.115 0.000 0.875 [4 per cell]
I1 0.174 0.500 0.267 [4 per cell]

2.
Computed, not measured: a geometry-optimized Cs3MnAg2Cl9 structure at the PBE-GGA level of DFT.

Output
Formation energy (no corrections)   -1.2434 eV/atom
Electronic total energy   -52.7 eV for the cell shown

abc: 7.3577 7.3577 8.9985
angles: 90.00 90.00 120.00
Space group P-3m1 (No. 164)
One atom of each set of equivalent atoms:
Cs1 0.0000 0.0000 0.0000 [1 per cell]
Cs2 0.3333 0.6667 0.6783 [2 per cell]
Mn1 0.0000 0.0000 0.5000 [1 per cell]
Ag1 0.3333 0.6667 0.1686 [2 per cell]
Cl1 0.0000 0.5000 0.0000 [3 per cell]
Cl2 0.1539 0.3077 0.3482 [6 per cell]

3.
Computed, not measured: a geometry-optimized Ba3PuSb2O9 structure at the PBE-GGA level of DFT.

Output
Formation energy (no corrections)   -2.3298 eV/atom
Electronic total energy   -107.9 eV for the cell shown

abc: 6.1127 6.1127 7.4770
angles: 90.00 90.00 120.00
Space group P-3m1 (No. 164)
One atom of each set of equivalent atoms:
Ba1 0.0000 0.0000 0.0000 [1 per cell]
Ba2 0.3333 0.6667 0.6769 [2 per cell]
Pu1 0.0000 0.0000 0.5000 [1 per cell]
Sb1 0.3333 0.6667 0.1661 [2 per cell]
O1 0.0000 0.5000 0.0000 [3 per cell]
O2 0.1718 0.3436 0.3287 [6 per cell]

4.
Computed, not measured: a geometry-optimized La2Nd2Ga3 structure at the PBE-GGA level of DFT.

Output
Electronic total energy   -63.1 eV for the cell shown
Energy of formation from the pure elements   -0.441 eV per atom

abc: 13.713 4.358 7.576
angles: 90.00 117.42 90.00
Space group C2/m (No. 12)
One atom of each set of equivalent atoms:
La1 0.112 0.000 0.290 [4 per cell]
Nd1 0.164 0.000 0.780 [4 per cell]
Ga1 0.000 0.500 0.500 [2 per cell]
Ga2 0.081 0.500 0.960 [4 per cell]

5.
Computed, not measured: a geometry-optimized AlCd4Ni structure at the PBE-GGA level of DFT.

Output
Electronic total energy   -43.1 eV for the cell shown
Energy of formation from the pure elements   0.401 eV per atom

abc: 7.914 7.914 7.914
angles: 90.00 90.00 90.00
Space group F-43m (No. 216)
One atom of each set of equivalent atoms:
Al1 0.000 0.000 0.000 [4 per cell]
Cd1 0.125 0.125 0.625 [16 per cell]
Ni1 0.250 0.250 0.250 [4 per cell]

6.
Computed, not measured: a geometry-optimized CaZrAs structure at the PBE-GGA level of DFT.

Output
Distance to the lowest polymorph of the same formula   0.4950 eV per atom
Electronic total energy   -65.9 eV for the cell shown
Energy of formation from the pure elements   -0.427 eV per atom

abc: 6.700 6.700 6.700
angles: 90.00 90.00 90.00
Space group F-43m (No. 216)
One atom of each set of equivalent atoms:
Ca1 0.000 0.000 0.000 [4 per cell]
Zr1 0.000 0.000 0.500 [4 per cell]
As1 0.250 0.250 0.750 [4 per cell]

7.
Computed, not measured: a geometry-optimized LaPuMn structure at the PBE-GGA level of DFT.

Output
Distance to the lowest polymorph of the same formula   0.0000 eV per atom
Electronic total energy   -55.9 eV for the cell shown
Energy of formation from the pure elements   0.162 eV per atom

abc: 3.541 3.541 11.432
angles: 90.00 90.00 90.00
Space group I4mm (No. 107)
One atom of each set of equivalent atoms:
La1 0.000 0.000 0.000 [2 per cell]
Pu1 0.000 0.000 0.289 [2 per cell]
Mn1 0.000 0.000 0.688 [2 per cell]

8.
Computed, not measured: a geometry-optimized TbDySc2P4 structure at the PBE-GGA level of DFT.

Output
Electronic total energy   -55.8 eV for the cell shown
Energy of formation from the pure elements   -1.536 eV per atom

abc: 6.722 3.895 6.743
angles: 90.00 109.54 90.00
Space group P2/m (No. 10)
One atom of each set of equivalent atoms:
Tb1 0.000 0.000 0.000 [1 per cell]
Dy1 0.000 0.500 0.500 [1 per cell]
Sc1 0.500 0.000 0.500 [1 per cell]
Sc2 0.500 0.500 0.000 [1 per cell]
P1 0.266 0.000 0.755 [2 per cell]
P2 0.266 0.500 0.256 [2 per cell]

9.
Computed, not measured: a geometry-optimized KThI6 structure at the PBE-GGA level of DFT.

Output
Distance to the lowest polymorph of the same formula   0.0000 eV per atom
Formation energy (no corrections)   -1.0493 eV/atom
Electronic total energy   -52.4 eV for the cell shown

abc: 7.979 13.871 8.738
angles: 90.00 108.95 90.00
Space group C2/m (No. 12)
One atom of each set of equivalent atoms:
K1 0.000 0.000 0.000 [2 per cell]
Th1 0.000 0.500 0.500 [2 per cell]
I1 0.177 0.345 0.746 [8 per cell]
I2 0.186 0.000 0.648 [4 per cell]

10.
Computed, not measured: a geometry-optimized BaSmAlTe4 structure at the PBE-GGA level of DFT.

Output
Formation energy (no corrections)   -1.1583 eV/atom
Electronic total energy   -62.1 eV for the cell shown

abc: 7.372 7.649 9.315
angles: 90.00 107.40 90.00
Space group P2_1/m (No. 11)
One atom of each set of equivalent atoms:
Ba1 0.231 0.250 0.055 [2 per cell]
Sm1 0.233 0.250 0.558 [2 per cell]
Al1 0.231 0.750 0.323 [2 per cell]
Te1 0.013 0.510 0.724 [4 per cell]
Te2 0.424 0.750 0.131 [2 per cell]
Te3 0.445 0.750 0.599 [2 per cell]

11.
Computed, not measured: a geometry-optimized Al2InOs structure at the PBE-GGA level of DFT.

Output
Electronic total energy   -21.3 eV for the cell shown
Energy of formation from the pure elements   0.033 eV per atom

abc: 3.230 4.290 5.209
angles: 90.00 106.60 90.00
Space group Pm (No. 6)
One atom of each set of equivalent atoms:
Al1 0.000 0.000 0.000 [1 per cell]
Al2 0.415 0.500 0.820 [1 per cell]
In1 0.698 0.500 0.354 [1 per cell]
Os1 0.291 0.000 0.569 [1 per cell]

12.
Computed, not measured: a geometry-optimized Ba2CdSiRh structure at the PBE-GGA level of DFT.

Output
Formation energy (no corrections)   -0.3107 eV/atom
Electronic total energy   -19.1 eV for the cell shown

abc: 6.113 6.113 4.633
angles: 90.00 90.00 90.00
Space group P4/mmm (No. 123)
One atom of each set of equivalent atoms:
Ba1 0.000 0.500 0.000 [2 per cell]
Cd1 0.000 0.000 0.500 [1 per cell]
Si1 0.500 0.500 0.500 [1 per cell]
Rh1 0.500 0.500 0.000 [1 per cell]

Q: Among the records above, which one has the highest electronic total energy?
A: Ba2CdSiRh

Q: What is the formula in the third record?
A: Ba3PuSb2O9